1.
Entry from the Alexandria database: InBiS2 after structural relaxation (PBE-GGA).

Cell and atoms, written as extended XYZ:
```
8
Lattice="-2.542 -1.408 6.130 3.152 -1.698 0.917 3.421 7.385 1.913" Properties=species:S:1:pos:R:3 pbc="T T T"
S 1.632 -1.991 5.564
S 1.338 -0.493 2.063
S 4.355 1.436 2.552
S 1.565 1.599 5.155
Bi 3.197 3.579 6.166
Bi 4.374 4.241 3.333
In 2.992 -0.276 4.057
In 0.185 -0.152 6.675
```

2.
Entry from the Alexandria database: In4BiS8 after structural relaxation (PBE-GGA).

Cell and atoms, written as extended XYZ:
```
13
Lattice="-7.770 0.599 0.299 -4.448 -6.272 -1.304 -3.940 -3.277 5.879" Properties=species:S:1:pos:R:3 pbc="T T T"
In -10.115 -2.927 1.935
In -8.302 -6.677 1.060
In -8.025 -5.042 4.980
In -5.875 -3.254 1.772
Bi -12.119 -6.713 3.655
S -5.842 -0.867 0.774
S -4.237 -4.187 -0.001
S -3.992 -2.740 3.470
S -2.088 -1.156 0.630
S -6.433 -5.727 2.842
S -7.899 -2.695 3.550
S -8.123 -4.016 0.380
S -9.862 -5.462 2.974
```

3.
Entry from the Alexandria database: InBi2S2 after structural relaxation (PBE-GGA).

Cell and atoms, written as extended XYZ:
```
10
Lattice="8.593 0.000 0.000 0.000 8.593 0.000 0.000 0.000 3.719" Properties=species:S:1:pos:R:3 pbc="T T T"
S 3.082 7.378 0.000
S 7.378 5.511 0.000
S 5.511 1.215 0.000
S 1.215 3.082 0.000
Bi 1.726 6.022 1.860
Bi 6.022 6.867 1.860
Bi 6.867 2.571 1.860
Bi 2.571 1.726 1.860
In 0.000 0.000 0.000
In 4.296 4.296 0.000
```

4.
Entry from the Alexandria database: In2BiS2 after structural relaxation (PBE-GGA).

Cell and atoms, written as extended XYZ:
```
10
Lattice="7.875 0.000 0.000 0.000 7.875 0.000 0.000 0.000 4.231" Properties=species:S:1:pos:R:3 pbc="T T T"
S 2.476 6.414 0.000
S 6.414 5.399 0.000
S 5.399 1.461 0.000
S 1.461 2.476 0.000
Bi 0.000 0.000 0.000
Bi 3.938 3.938 0.000
In 1.102 5.040 2.115
In 5.040 6.773 2.115
In 6.773 2.836 2.115
In 2.836 1.102 2.115
```

5.
Entry from the Alexandria database: InBiS2 after structural relaxation (PBE-GGA).

Cell and atoms, written as extended XYZ:
```
8
Lattice="1.803 -11.057 0.000 1.803 11.057 0.000 0.000 0.000 5.096" Properties=species:S:1:pos:R:3 pbc="T T T"
S 1.803 6.763 1.274
S 1.803 -6.763 3.822
S 1.803 -9.544 1.274
S 1.803 9.544 3.822
Bi 1.803 4.060 1.274
Bi 1.803 -4.060 3.822
In 1.803 9.781 1.274
In 1.803 -9.781 3.822
```

6.
Entry from the Alexandria database: InBiS2 after structural relaxation (PBE-GGA).

Cell and atoms, written as extended XYZ:
```
8
Lattice="6.732 0.002 -0.004 -0.001 3.705 -0.001 2.253 1.853 8.311" Properties=species:S:1:pos:R:3 pbc="T T T"
S 3.085 0.832 0.802
S 6.452 2.833 0.796
S 5.370 0.981 3.740
S 2.005 2.685 3.738
Bi 1.986 1.852 6.424
Bi 5.357 1.856 6.427
In 0.859 0.904 2.272
In 4.232 2.758 2.268
```

7.
Entry from the Alexandria database: InBiS2 after structural relaxation (PBE-GGA).

Cell and atoms, written as extended XYZ:
```
8
Lattice="-3.474 0.384 -6.907 -6.246 -3.496 2.948 -6.255 1.679 -1.098" Properties=species:S:1:pos:R:3 pbc="T T T"
S -4.768 -0.778 -4.688
S -4.953 -2.334 0.729
S -2.259 -0.538 -1.598
S -7.462 -2.574 -2.361
Bi -7.295 0.254 -4.992
Bi -8.681 -1.686 -0.065
In -10.418 -1.494 -3.518
In -5.558 0.062 -1.539
```

8.
Entry from the Alexandria database: InBiS2 after structural relaxation (PBE-GGA).

Cell and atoms, written as extended XYZ:
```
16
Lattice="-2.258 -17.530 -14.724 3.826 -1.419 1.102 -1.243 3.794 9.197" Properties=species:S:1:pos:R:3 pbc="T T T"
S -2.894 -13.370 -7.155
S 3.220 -1.785 2.730
S -0.441 -7.945 -0.585
S 0.766 -7.210 -3.841
S 2.916 -1.088 4.681
S -2.591 -14.067 -9.106
S -0.173 -4.113 3.405
S 0.499 -11.042 -7.830
Bi -2.160 -9.408 -4.610
Bi 2.485 -5.747 0.185
Bi -1.177 -11.906 -3.130
Bi 1.503 -3.249 -1.295
In 0.374 -1.050 5.451
In -0.048 -14.105 -9.877
In 2.370 -4.152 2.634
In -2.044 -11.003 -7.060
```

9.
Entry from the Alexandria database: InBi2S4 after structural relaxation (PBE-GGA).

Cell and atoms, written as extended XYZ:
```
7
Lattice="7.167 0.000 0.000 0.000 7.167 0.000 -3.583 -3.583 3.980" Properties=species:S:1:pos:R:3 pbc="T T T"
In 3.583 3.583 0.000
Bi 3.583 0.000 1.990
Bi 0.000 3.583 1.990
S 5.241 1.926 0.871
S 1.926 5.241 0.871
S 1.657 1.657 3.109
S -1.657 -1.657 3.109
```

10.
Entry from the Alexandria database: InBiS2 after structural relaxation (PBE-GGA).

Cell and atoms, written as extended XYZ:
```
8
Lattice="-2.368 4.915 -3.756 -3.174 0.198 2.260 3.063 7.334 3.660" Properties=species:S:1:pos:R:3 pbc="T T T"
S -1.365 2.272 0.038
S -4.128 4.682 -0.686
S -0.839 5.826 0.467
S -3.601 8.236 -0.257
Bi -2.210 9.901 1.552
Bi 0.306 7.941 1.889
In -2.314 6.376 -1.654
In -2.653 4.133 1.435
```

11.
Entry from the Alexandria database: In2BiS6 after structural relaxation (PBE-GGA).

Cell and atoms, written as extended XYZ:
```
18
Lattice="-2.448 1.485 -5.532 -5.684 -1.370 2.148 -1.340 11.206 3.601" Properties=species:S:1:pos:R:3 pbc="T T T"
In -0.446 3.732 1.199
In -5.183 9.392 1.308
In -4.290 1.929 -1.091
In -0.894 7.474 2.402
Bi 0.000 0.000 0.000
Bi -4.736 5.660 0.109
S -2.906 3.733 0.164
S -6.111 3.779 -1.170
S -6.159 8.494 3.624
S -4.199 10.224 -1.029
S -5.274 1.097 1.246
S -3.314 2.827 -3.406
S -3.361 7.542 1.388
S -6.567 7.587 0.054
S -2.517 0.036 -1.047
S -5.615 0.079 -2.337
S -5.738 4.777 2.486
S -3.735 6.544 -2.268
```

12.
Entry from the Alexandria database: In4BiS8 after structural relaxation (PBE-GGA).

Cell and atoms, written as extended XYZ:
```
13
Lattice="-1.684 1.161 -3.354 2.555 -7.307 -6.112 -8.665 -3.560 0.818" Properties=species:S:1:pos:R:3 pbc="T T T"
In -6.614 -6.039 -3.370
In -3.380 -6.566 -7.477
In -4.317 -2.776 -1.094
In -2.013 -3.481 -4.795
Bi -6.496 -8.362 -6.534
S -2.532 -4.162 -2.470
S -6.245 -3.572 -2.702
S -1.586 -5.773 -5.802
S -5.843 -5.910 -6.013
S -8.994 -5.247 -4.202
S -3.636 -8.696 -5.784
S 1.467 -5.027 -4.777
S -4.261 -0.714 -2.709
```

no.,calculated total energy (eV per atom),formation energy without anion corrections (eV per atom),spin magnetization (μB per formula unit)
1,-4.08,-0.364,0.0
2,-4.06,-0.376,0.0
3,-3.75,0.004,0.0
4,-3.63,-0.108,0.0
5,-3.82,-0.100,0.0
6,-4.09,-0.373,0.0
7,-3.87,-0.150,0.0
8,-3.83,-0.116,0.0
9,-4.11,-0.255,0.0
10,-4.12,-0.400,0.0
11,-3.80,-0.008,0.0
12,-4.05,-0.368,0.5